The following is a PBE calculation of a relaxed structure of RbAs2S3, from Alexandria via LeMat-Bulk.

Summary:
The uncorrected formation energy comes out at -22.4 kJ per mole of atoms. As for the space-group type: Cmcm.

abc: 6.266 7.615 7.615
angles: 91.66 90.00 90.00
Element x y z (fractional)
1 S 0.250 0.824 0.577
2 S 0.250 0.925 0.075
3 As 0.500 0.818 0.818
4 Rb 0.250 0.313 0.687
5 As 0.000 0.818 0.818
6 S 0.750 0.577 0.824
7 As 0.000 0.182 0.182
8 S 0.250 0.423 0.176
9 Rb 0.750 0.687 0.313
10 As 0.500 0.182 0.182
11 S 0.750 0.075 0.925
12 S 0.750 0.176 0.423

The following is a PBE calculation of a relaxed structure of NaMgCdF6, from Alexandria via LeMat-Bulk.

Summary:
The uncorrected formation energy comes out at -239.7 kJ per mole of atoms. As for the space-group type: P4_2nm.

abc: 4.991 4.991 10.085
angles: 90.00 90.00 90.00
Last column: magnetic moment on the atom in μB.
Element x y z (fractional)
1 F 0.690 0.690 0.983  0.13
2 F 0.713 0.713 0.338  0.14
3 Mg 0.500 0.500 0.835  0.00
4 F 0.319 0.319 0.678  0.16
5 F 0.287 0.287 0.338  0.14
6 Mg 0.000 0.000 0.335  0.00
7 F 0.181 0.819 0.178  0.16
8 F 0.787 0.213 0.838  0.14
9 Cd 0.500 0.500 0.498  0.13
10 F 0.681 0.681 0.678  0.16
11 Cd 0.000 0.000 0.998  0.13
12 F 0.819 0.181 0.178  0.16
13 F 0.310 0.310 0.983  0.13
14 F 0.190 0.810 0.483  0.13
15 Na 0.500 0.500 0.167  0.00
16 F 0.810 0.190 0.483  0.13
17 Na 0.000 0.000 0.667  0.00
18 F 0.213 0.787 0.838  0.14

The following is a PBE calculation of a relaxed structure of CeErCu2, from Alexandria via LeMat-Bulk.

Summary:
The value obtained for the energy of formation is -139 meV/atom. As for the space-group type: Fm-3m.

abc: 4.930 4.930 4.930
angles: 60.00 60.00 60.00
Last column: magnetic moment on the atom in μB.
Element x y z (fractional)
1 Er 0.000 0.000 0.000  0.01
2 Cu 0.750 0.750 0.750  0.01
3 Ce 0.500 0.500 0.500  -0.34
4 Cu 0.250 0.250 0.250  0.01

The following is a PBE calculation of a relaxed structure of SiAg2P, from Alexandria via LeMat-Bulk.

Summary:
The uncorrected formation energy comes out at 15.6 kJ per mole of atoms. As for the space-group type: R3m.

abc: 7.425 7.425 7.425
angles: 26.34 26.34 26.34
Element x y z (fractional)
1 Ag 0.242 0.242 0.242
2 Ag 0.009 0.009 0.009
3 Si 0.763 0.763 0.763
4 P 0.486 0.486 0.486

The following is a PBE calculation of a relaxed structure of NaFe2C2, from Alexandria via LeMat-Bulk.

Summary:
The value obtained for the energy of formation is 1017 meV/atom. As for the space-group type: P4/mbm.

abc: 6.126 6.126 2.417
angles: 90.00 90.00 90.00
Last column: magnetic moment on the atom in μB.
Element x y z (fractional)
1 Fe 0.867 0.633 0.000  0.50
2 Fe 0.367 0.867 0.000  0.53
3 C 0.646 0.854 0.500  -0.04
4 C 0.854 0.354 0.500  -0.04
5 Na 0.000 0.000 0.000  0.00
6 Na 0.500 0.500 0.000  0.00
7 C 0.146 0.646 0.500  -0.04
8 Fe 0.633 0.133 0.000  0.53
9 Fe 0.133 0.367 0.000  0.50
10 C 0.354 0.146 0.500  -0.04

The following is a PBE calculation of a relaxed structure of CsBaHf2C, from Alexandria via LeMat-Bulk.

Summary:
The value obtained for the energy of formation is 3110 meV/atom. As for the space-group type: P4/mmm.

abc: 5.325 5.325 6.573
angles: 90.00 90.00 90.00
Last column: magnetic moment on the atom in μB.
Element x y z (fractional)
1 Hf 0.000 0.500 0.000  -0.05
2 Ba 0.000 0.000 0.500  -0.02
3 Hf 0.500 0.000 0.000  -0.05
4 C 0.500 0.500 0.500  0.79
5 Cs 0.000 0.000 0.000  0.00

Sequential M_tot output: 0.00 1.08 0.35 0.00 0.91 1.30 μB/f.u.